A relaxed structure of K3CN3, computed with PBE.

Properties
Offset from the most stable computed form   0.0 meV per atom
Total magnetic moment   0.00 μB per cell
Formation energy from raw total energies   0.10 eV per atom
VASP energy   -0.193 hartree per atom

Cell: 5.546 7.636 7.636 Å, 120.00 90.00 90.00°
Positions (direct):
N  0.250  0.473  0.183
N  0.250  0.817  0.290
K  0.750  0.864  0.239
N  0.250  0.710  0.527
K  0.250  0.136  0.761
C  0.250  0.667  0.333
K  0.250  0.625  0.864
N  0.750  0.527  0.817
N  0.750  0.290  0.473
K  0.250  0.239  0.375
C  0.750  0.333  0.667
K  0.750  0.761  0.625
K  0.750  0.375  0.136
N  0.750  0.183  0.710


A relaxed structure of YCoW2, computed with PBE.

Properties
Offset from the most stable computed form   179.6 meV per atom
Total magnetic moment   0.79 μB per cell
ΔH_f (0 K)   177 kJ/mol of formula units
Fermi-level density of states   1.1250 states/eV per atom
VASP energy   -0.346 hartree per atom

Cell: 2.832 2.832 8.472 Å, 90.00 90.00 90.06°
Site moments in Bohr magnetons follow the coordinates.
Positions (direct):
W  0.000  0.000  0.549  0.02
W  0.000  0.000  0.951  0.02
Co  0.500  0.500  0.750  0.77
Y  0.500  0.500  0.250  -0.02


A relaxed structure of Mg2AlGe, computed with PBE.

Properties
Total magnetic moment   0.00 μB per cell
ΔH_f (0 K)   19 kJ/mol of formula units
Fermi-level density of states   0.4123 states/eV per atom
VASP energy   -0.104 hartree per atom

Cell: 4.451 4.451 5.792 Å, 67.40 67.40 60.00°
Positions (direct):
Mg  0.068  0.068  0.797
Mg  0.268  0.268  0.196
Ge  0.666  0.666  0.001
Al  0.498  0.498  0.506


A relaxed structure of BeC2, computed with PBE.

Properties
Offset from the most stable computed form   676.8 meV per atom
Total magnetic moment   0.00 μB per cell
ΔH_f (0 K)   308 kJ/mol of formula units
Fermi-level density of states   0.1660 states/eV per atom
VASP energy   -0.233 hartree per atom

Cell: 6.667 6.667 2.477 Å, 90.00 90.00 158.25°
Positions (direct):
C  0.278  0.722  0.500
C  0.722  0.278  0.500
C  0.000  0.000  0.000
Be  0.614  0.386  0.000
C  0.500  0.500  0.500
Be  0.386  0.614  0.000


A relaxed structure of Ce4SmTh3Se8, computed with PBE.

Properties
Total magnetic moment   3.50 μB per cell
Formation energy from raw total energies   -1.72 eV per atom
Fermi-level density of states   1.6966 states/eV per atom
VASP energy   -0.244 hartree per atom

Cell: 8.382 8.403 8.382 Å, 119.91 120.00 90.00°
Site moments in Bohr magnetons follow the coordinates.
Positions (direct):
Ce  0.500  0.000  0.500  0.72
Sm  0.000  0.500  0.000  0.00
Se  0.751  0.250  0.998  -0.01
Se  0.249  0.247  0.498  -0.01
Ce  0.000  0.000  0.000  0.72
Se  0.249  0.750  0.497  -0.01
Se  0.751  0.250  0.503  -0.01
Se  0.247  0.250  0.998  -0.01
Th  0.500  0.500  0.000  0.01
Se  0.753  0.750  0.002  -0.01
Se  0.751  0.753  0.502  -0.01
Th  0.000  0.500  0.500  0.01
Ce  0.000  0.000  0.500  0.72
Se  0.249  0.750  0.002  -0.01
Th  0.500  0.500  0.500  0.01
Ce  0.500  0.000  0.000  0.78


A relaxed structure of Ca7Zr6, computed with PBE.

Properties
Total magnetic moment   9.25 μB per cell
ΔH_f (0 K)   923 kJ/mol of formula units
Fermi-level density of states   1.6665 states/eV per atom
VASP energy   -0.158 hartree per atom

Cell: 11.657 11.657 11.657 Å, 31.98 31.98 31.98°
Site moments in Bohr magnetons follow the coordinates.
Positions (direct):
Zr  0.142  0.142  0.142  1.09
Ca  0.411  0.923  0.411  0.10
Ca  0.589  0.077  0.589  0.10
Zr  0.960  0.960  0.960  -0.12
Zr  0.666  0.666  0.666  0.91
Ca  0.923  0.411  0.411  0.10
Ca  0.411  0.411  0.923  0.10
Zr  0.334  0.334  0.334  0.91
Zr  0.040  0.040  0.040  -0.12
Zr  0.858  0.858  0.858  1.09
Ca  0.589  0.589  0.077  0.10
Ca  0.500  0.500  0.500  0.07
Ca  0.077  0.589  0.589  0.10